{
  "formula": "AuCF2",
  "functional": "PBE",
  "state": "relaxed",
  "cell": [[-2.842, 2.842, 4.020], [2.842, -2.842, 4.020], [2.842, 2.842, -4.020]],
  "species": ["Au", "Au", "C", "C", "F", "F", "F", "F"],
  "frac_coords": [[0.000, 0.000, 0.000], [0.750, 0.250, 0.500], [0.250, 0.750, 0.500], [0.500, 0.500, 0.000], [0.374, 0.625, 0.249], [0.375, 0.624, 0.749], [0.376, 0.125, 0.751], [0.875, 0.626, 0.251]],
  "relative_energy_mev_per_atom": 465,
  "raw_formation_energy_kj_per_mol_atoms": 82.8
}



{
  "formula": "Tl2Sn3Hg5",
  "functional": "PBE",
  "state": "relaxed",
  "cell": [[6.466, -2.216, 0.000], [6.466, 2.216, 0.000], [-4.620, 0.000, 10.499]],
  "species": ["Tl", "Tl", "Sn", "Sn", "Sn", "Hg", "Hg", "Hg", "Hg", "Hg"],
  "frac_coords": [[0.128, 0.128, 0.296], [0.872, 0.872, 0.704], [0.256, 0.256, 0.910], [0.500, 0.500, 0.500], [0.744, 0.744, 0.090], [0.174, 0.174, 0.601], [0.421, 0.421, 0.219], [0.500, 0.500, 0.000], [0.579, 0.579, 0.781], [0.826, 0.826, 0.399]],
  "ef_mev_per_atom": 55
}



{
  "formula": "Hf4GePt",
  "functional": "PBE",
  "state": "relaxed",
  "cell": [[6.627, 0.000, 0.000], [0.000, 6.627, 0.000], [0.000, 0.000, 5.400]],
  "species": ["Hf", "Hf", "Hf", "Hf", "Hf", "Hf", "Hf", "Hf", "Ge", "Ge", "Pt", "Pt"],
  "frac_coords": [[0.156, 0.341, 0.000], [0.156, 0.659, 0.500], [0.341, 0.156, 0.500], [0.341, 0.844, 0.000], [0.659, 0.156, 0.000], [0.659, 0.844, 0.500], [0.844, 0.341, 0.500], [0.844, 0.659, 0.000], [0.500, 0.500, 0.250], [0.500, 0.500, 0.750], [0.000, 0.000, 0.250], [0.000, 0.000, 0.750]],
  "ef_mev_per_atom": -690,
  "relative_energy_mev_per_atom": 0
}



Record-wise Fermi-level density of states values, in states/eV/f.u.: 0.1 4.4 5.5